! Ba2AsPtS6, optimized geometry, DFT PBE-GGA; values from VASP
&SYSTEM
  ibrav = 0, nat = 10, ntyp = 4
/
ATOMIC_SPECIES
Ba 137.33 Ba.upf
As 74.92 As.upf
Pt 195.08 Pt.upf
S 32.06 S.upf
ATOMIC_POSITIONS angstrom
Ba 2.444 2.444 2.444
Ba 7.331 7.331 7.331
As 0.000 0.000 0.000
Pt 4.888 4.888 4.888
S 4.888 4.888 2.482
S 4.888 2.482 4.888
S 7.294 4.888 4.888
S 2.482 4.888 4.888
S 4.888 7.294 4.888
S 4.888 4.888 7.294
CELL_PARAMETERS angstrom
0.000 4.888 4.888
4.888 0.000 4.888
4.888 4.888 0.000
! theoretical density	5.2	g/cm³
! size of the total moment	0.01	μB per formula unit
! calculated volume	23.35	Å³/atom
! space group	Fm-3m, No. 225
! DFT total energy	-46.8	eV/cell